[1]
# KBaTa2

KBaTa2 after structural relaxation (GGA-PBE, the Alexandria database).

Excess energy over the best structure of this formula in the dataset = 237 meV/atom
Crystal system = monoclinic
N(E_F) = 1.113 states/eV/atom

The structure in CIF format:
```
data_KBaTa2
_chemical_formula_sum 'K2 Ba2 Ta4'
_symmetry_space_group_name_H-M 'C 1 m 1'
_symmetry_Int_Tables_number 8
_cell_length_a 9.1725
_cell_length_b 3.2396
_cell_length_c 9.7087
_cell_angle_alpha 90.00
_cell_angle_beta 92.48
_cell_angle_gamma 90.00
loop_
_symmetry_equiv_pos_as_xyz
'x,y,z'
'x,-y,z'
'x+1/2,y+1/2,z'
'x+1/2,-y+1/2,z'
loop_
_atom_site_label
_atom_site_fract_x
_atom_site_fract_y
_atom_site_fract_z
K1 0.0000 0.0000 0.0000
Ba1 0.2323 0.0000 0.5912
Ta1 0.2534 0.5000 0.2769
Ta2 0.4828 0.0000 0.3436
```

[2]
# Mg2CrCd

Mg2CrCd after structural relaxation (GGA-PBE, the Alexandria database).

Crystal system = tetragonal
N(E_F) = 0.610 states/eV/atom

The structure in CIF format:
```
data_Mg2CrCd
_chemical_formula_sum 'Mg2 Cr1 Cd1'
_symmetry_space_group_name_H-M 'P 4 m m'
_symmetry_Int_Tables_number 99
_cell_length_a 3.4283
_cell_length_b 3.4283
_cell_length_c 6.9061
_cell_angle_alpha 90.00
_cell_angle_beta 90.00
_cell_angle_gamma 90.00
loop_
_symmetry_equiv_pos_as_xyz
'x,y,z'
'-y,x,z'
'-x,-y,z'
'y,-x,z'
'-x,y,z'
'y,x,z'
'x,-y,z'
'-y,-x,z'
loop_
_atom_site_label
_atom_site_fract_x
_atom_site_fract_y
_atom_site_fract_z
Mg1 0.0000 0.0000 0.0000
Mg2 0.5000 0.5000 0.2776
Cr1 0.5000 0.5000 0.7668
Cd1 0.0000 0.0000 0.5357
```

[3]
# ZrBe2Re2

ZrBe2Re2 after structural relaxation (GGA-PBE, the Alexandria database).

Excess energy over the best structure of this formula in the dataset = 0 meV/atom
Crystal system = tetragonal
N(E_F) = 0.422 states/eV/atom

The structure in CIF format:
```
data_ZrBe2Re2
_chemical_formula_sum 'Zr2 Be4 Re4'
_symmetry_space_group_name_H-M 'P 4/m b m'
_symmetry_Int_Tables_number 127
_symmetry_space_group_name_Hall '-P 4 2ab'
_cell_length_a 6.3854
_cell_length_b 6.3854
_cell_length_c 3.2441
_cell_angle_alpha 90.00
_cell_angle_beta 90.00
_cell_angle_gamma 90.00
loop_
_atom_site_label
_atom_site_fract_x
_atom_site_fract_y
_atom_site_fract_z
Zr1 0.0000 0.0000 0.0000
Be1 0.1142 0.3858 0.0000
Re1 0.1703 0.6703 0.5000
```

[4]
# ZrIr2Rh

ZrIr2Rh after structural relaxation (GGA-PBE, the Alexandria database).

Crystal system = orthorhombic
N(E_F) = 1.147 states/eV/atom

The structure in CIF format:
```
data_ZrIr2Rh
_chemical_formula_sum 'Zr2 Ir4 Rh2'
_symmetry_space_group_name_H-M 'C m m m'
_symmetry_Int_Tables_number 65
_symmetry_space_group_name_Hall '-C 2 2'
_cell_length_a 5.6531
_cell_length_b 7.6864
_cell_length_c 2.9385
_cell_angle_alpha 90.00
_cell_angle_beta 90.00
_cell_angle_gamma 90.00
loop_
_atom_site_label
_atom_site_fract_x
_atom_site_fract_y
_atom_site_fract_z
Zr1 0.0000 0.0000 0.0000
Ir1 0.2500 0.2500 0.5000
Rh1 0.0000 0.5000 0.0000
```

Number 1: final energy -5.720 eV/atom, formation energy from the elements 3.85 eV/f.u.. Number 2: final energy -3.201 eV/atom, formation energy from the elements 0.92 eV/f.u.. Number 3: final energy -8.402 eV/atom, formation energy from the elements -1.11 eV/f.u.. Number 4: final energy -8.856 eV/atom, formation energy from the elements -1.80 eV/f.u..